Entry 1:
Here is crystalline Fe3Si4 at its relaxed geometry from the Alexandria database. Energies are from PBE.

Cell: 4.7892 4.7892 4.3166 Å, 90.00 90.00 120.00°
Element x y z (fractional)
1 Fe 0.5000 0.0000 0.0000
2 Fe 0.0000 0.5000 0.0000
3 Fe 0.5000 0.5000 0.0000
4 Si 0.0000 0.0000 0.7514
5 Si 0.3333 0.6667 0.5000
6 Si 0.6667 0.3333 0.5000
7 Si 0.0000 0.0000 0.2486

ρ ... 5.42 g/cm³
Size of the total moment ... 5.0 Bohr magnetons per cell
ΔE_f (raw) ... 0.01 eV/atom
DOS(E_F) ... 5.0 states/eV per cell
Space group ... P6/mmm, No. 191
Polymorph energy (0 for the lowest one) ... 0.327 eV/atom

=====

Entry 2:
Here is crystalline Sr2GeAu at its relaxed geometry from the Alexandria database. Energies are from PBE.

Cell: 3.7264 5.5356 5.5356 Å, 90.00 90.00 90.00°
Element x y z (fractional)
1 Ge 0.5000 0.0000 0.0000
2 Sr 0.0000 0.0000 0.5000
3 Sr 0.0000 0.5000 0.0000
4 Au 0.5000 0.5000 0.5000

ρ ... 6.47 g/cm³
Size of the total moment ... 0.0 Bohr magnetons per cell
E_form ... -0.616 eV per atom
DOS(E_F) ... 1.8 states/eV per cell
Space group ... P4/mmm, No. 123

=====

Entry 3:
Here is crystalline Dy2ErGa at its relaxed geometry from the Alexandria database. Energies are from PBE.

Cell: 3.6373 6.6094 9.5546 Å, 90.00 90.00 105.96°
Element x y z (fractional)
1 Ga 0.2567 0.5139 0.2500
2 Ga 0.7433 0.4861 0.7500
3 Er 0.0551 0.1100 0.7500
4 Er 0.9449 0.8900 0.2500
5 Dy 0.6341 0.2691 0.0495
6 Dy 0.3659 0.7309 0.9505
7 Dy 0.3659 0.7309 0.5495
8 Dy 0.6341 0.2691 0.4505

ρ ... 8.45 g/cm³
Size of the total moment ... 0.5 Bohr magnetons per cell
E_form ... -0.279 eV per atom
DOS(E_F) ... 11.0 states/eV per cell
Space group ... Cmcm, No. 63
Polymorph energy (0 for the lowest one) ... 0.000 eV/atom